--- P ---
The following is a DFT calculation (GGA-PBE) of a geometry-optimized AcPr3In structure.

* SG: P6_3/mmc

abc: 6.4065 8.2968 8.2983
angles: 120.00 90.00 90.00
Sites, in units of the cell vectors:
1 Ac 0.7500 0.6668 0.3334
2 Ac 0.2500 0.3332 0.6666
3 In 0.0000 0.0000 0.0000
4 In 0.5000 0.0000 0.0000
5 Pr 0.2500 0.8096 0.6192
6 Pr 0.7500 0.6192 0.8096
7 Pr 0.2500 0.3808 0.1904
8 Pr 0.7501 0.1904 0.8096
9 Pr 0.2499 0.8096 0.1904
10 Pr 0.7500 0.1904 0.3808

---

--- Q ---
The following is a DFT calculation (GGA-PBE) of a geometry-optimized AcPr3In structure.

* SG: Cmcm

abc: 5.1346 5.0528 13.5468
angles: 90.00 79.08 90.00
Sites, in units of the cell vectors:
1 Ac 0.1736 0.2500 0.3013
2 Ac 0.4748 0.7500 0.6987
3 In 0.9779 0.2500 0.6925
4 In 0.6704 0.7500 0.3075
5 Pr 0.7722 0.2500 0.1039
6 Pr 0.5746 0.2500 0.4992
7 Pr 0.0738 0.7500 0.5008
8 Pr 0.8761 0.7500 0.8961
9 Pr 0.3741 0.2500 0.9000
10 Pr 0.2742 0.7500 0.1000

---

In terms of stability, Q leads; the second structure lies 176 meV/atom higher.

---

--- P ---
The following is a DFT calculation (GGA-PBE) of a geometry-optimized Ac2Pr3In structure.

* SG: Immm

abc: 3.7571 6.4514 10.4292
angles: 108.02 100.38 90.00
Sites, in units of the cell vectors:
1 Pr 0.6288 0.6288 0.2577
2 Pr 0.3712 0.3712 0.7423
3 Pr 0.0000 0.0000 0.0000
4 In 0.0000 0.5000 0.0000
5 Ac 0.2987 0.7987 0.5974
6 Ac 0.7013 0.2013 0.4026

---

--- Q ---
The following is a DFT calculation (GGA-PBE) of a geometry-optimized Ac2Pr3In structure.

* SG: Cmmm

abc: 5.1242 5.1933 8.4976
angles: 107.79 90.00 90.00
Sites, in units of the cell vectors:
1 In 0.0000 0.0000 0.0000
2 Ac 0.0000 0.6630 0.3261
3 Ac 0.0000 0.3370 0.6739
4 Pr 0.5000 0.1563 0.3126
5 Pr 0.5000 0.5000 0.0000
6 Pr 0.5000 0.8437 0.6874

---

In terms of stability, Q leads; the second structure lies 234 meV/atom higher.

---

--- P ---
The following is a DFT calculation (GGA-PBE) of a geometry-optimized Ac3PrIn structure.

* SG: P1

abc: 10.2375 9.6174 6.8063
angles: 73.33 122.99 135.65
Sites, in units of the cell vectors:
1 Ac 0.0087 0.9005 0.7764
2 Ac 0.0539 0.1618 0.2226
3 Ac 0.5311 0.8095 0.5889
4 Ac 0.0584 0.3456 0.6398
5 Ac 0.5321 0.2542 0.4134
6 Ac 0.0035 0.7160 0.3587
7 In 0.5119 0.4055 0.8266
8 In 0.5500 0.6578 0.1736
9 Pr 0.0344 0.5328 0.9995
10 Pr 0.5325 0.0329 0.0005

---

--- Q ---
The following is a DFT calculation (GGA-PBE) of a geometry-optimized Ac3PrIn structure.

* SG: Cmcm

abc: 5.2579 5.2595 13.9064
angles: 90.00 79.10 90.00
Sites, in units of the cell vectors:
1 In 0.6706 0.7500 0.3071
2 In 0.9777 0.2500 0.6929
3 Pr 0.1709 0.2500 0.3066
4 Pr 0.4775 0.7500 0.6934
5 Ac 0.2666 0.7500 0.1151
6 Ac 0.7692 0.2500 0.1100
7 Ac 0.0745 0.7500 0.4994
8 Ac 0.3817 0.2500 0.8849
9 Ac 0.8792 0.7500 0.8900
10 Ac 0.5739 0.2500 0.5006

---

In terms of stability, Q leads; the second structure lies 44 meV/atom higher.

---

--- P ---
The following is a DFT calculation (GGA-PBE) of a geometry-optimized AcPrIn4 structure.

* SG: P6/mmm

abc: 5.0859 5.0859 7.8105
angles: 90.00 90.00 120.00
Sites, in units of the cell vectors:
1 In 0.6667 0.3333 0.7651
2 In 0.3333 0.6667 0.2349
3 In 0.3333 0.6667 0.7651
4 In 0.6667 0.3333 0.2349
5 Pr 0.0000 0.0000 0.0000
6 Ac 0.0000 0.0000 0.5000

---

--- Q ---
The following is a DFT calculation (GGA-PBE) of a geometry-optimized AcPrIn4 structure.

* SG: F-43m

abc: 6.2188 6.2188 6.2188
angles: 60.00 60.00 60.00
Sites, in units of the cell vectors:
1 In 0.1243 0.6252 0.6252
2 In 0.6252 0.6252 0.1243
3 In 0.6252 0.6252 0.6252
4 In 0.6252 0.1243 0.6252
5 Ac 0.2500 0.2500 0.2500
6 Pr 0.0000 0.0000 0.0000

---

In terms of stability, P leads; the second structure lies 35 meV/atom higher.

---

--- P ---
The following is a DFT calculation (GGA-PBE) of a geometry-optimized AcPr3In2 structure.

* SG: C2/m

abc: 5.6035 9.8982 9.3662
angles: 123.55 90.00 106.44
Sites, in units of the cell vectors:
1 Pr 0.9372 0.8743 0.5881
2 Pr 0.0628 0.1257 0.4119
3 Pr 0.3026 0.6052 0.6014
4 Pr 0.6188 0.2376 0.7002
5 Pr 0.6974 0.3948 0.3986
6 Pr 0.3812 0.7624 0.2998
7 Ac 0.1273 0.2545 0.0755
8 Ac 0.8727 0.7455 0.9245
9 In 0.5063 0.0126 0.8516
10 In 0.4937 0.9874 0.1484
11 In 0.7712 0.5424 0.1445
12 In 0.2288 0.4576 0.8555

---

--- Q ---
The following is a DFT calculation (GGA-PBE) of a geometry-optimized AcPr3In2 structure.

* SG: P4/mmm

abc: 3.7546 3.7546 14.0183
angles: 90.00 90.00 90.00
Sites, in units of the cell vectors:
1 Pr 0.0000 0.0000 0.0000
2 Pr 0.0000 0.0000 0.3030
3 Pr 0.0000 0.0000 0.6970
4 Ac 0.5000 0.5000 0.5000
5 In 0.5000 0.5000 0.1539
6 In 0.5000 0.5000 0.8461

---

In terms of stability, Q leads; the second structure lies 60 meV/atom higher.

---

--- P ---
The following is a DFT calculation (GGA-PBE) of a geometry-optimized AcPr2In2 structure.

* SG: Cmmm

abc: 3.7046 3.6494 12.5312
angles: 81.63 90.00 90.00
Sites, in units of the cell vectors:
1 Pr 0.0000 0.8161 0.3678
2 Pr 0.0000 0.1839 0.6322
3 In 0.5000 0.5986 0.8028
4 In 0.5000 0.4014 0.1972
5 Ac 0.0000 0.0000 0.0000

---

--- Q ---
The following is a DFT calculation (GGA-PBE) of a geometry-optimized AcPr2In2 structure.

* SG: P2_1/m

abc: 7.2460 9.0106 9.4757
angles: 72.12 67.56 36.46
Sites, in units of the cell vectors:
1 In 0.6707 0.2501 0.2440
2 In 0.3293 0.7499 0.7560
3 In 0.0855 0.2498 0.2443
4 In 0.9145 0.7502 0.7557
5 Pr 0.2975 0.7499 0.4063
6 Pr 0.7025 0.2501 0.5937
7 Pr 0.5190 0.2501 0.9616
8 Pr 0.4810 0.7499 0.0384
9 Ac 0.1589 0.2500 0.6818
10 Ac 0.8411 0.7500 0.3182

---

In terms of stability, Q leads; the second structure lies 42 meV/atom higher.

---

--- P ---
The following is a DFT calculation (GGA-PBE) of a geometry-optimized AcPrTlIn structure.

* SG: P4mm

abc: 4.0202 4.0202 8.0288
angles: 90.00 90.00 90.00
Sites, in units of the cell vectors:
1 Ac 0.5000 0.5000 0.1103
2 In 0.0000 0.0000 0.3741
3 Pr 0.5000 0.5000 0.6046
4 Tl 0.0000 0.0000 0.8389

---

--- Q ---
The following is a DFT calculation (GGA-PBE) of a geometry-optimized AcPrTlIn structure.

* SG: F-43m

abc: 5.6989 5.6989 5.6989
angles: 60.00 60.00 60.00
Sites, in units of the cell vectors:
1 Tl 0.0000 0.0000 0.0000
2 Ac 0.7500 0.7500 0.7500
3 Pr 0.2500 0.2500 0.2500
4 In 0.5000 0.5000 0.5000

---

In terms of stability, P leads; the second structure lies 17 meV/atom higher.

---

--- P ---
The following is a DFT calculation (GGA-PBE) of a geometry-optimized Ac4InPt structure.

* SG: F-43m

abc: 10.6464 10.6463 10.6463
angles: 60.00 60.00 60.00
Sites, in units of the cell vectors:
1 In 0.1726 0.1726 0.1726
2 In 0.4821 0.1726 0.1726
3 In 0.1726 0.4821 0.1726
4 In 0.1726 0.1726 0.4821
5 Ac 0.8149 0.1851 0.1851
6 Ac 0.9433 0.9433 0.5567
7 Ac 0.5567 0.5567 0.9433
8 Ac 0.5567 0.9433 0.9433
9 Ac 0.9433 0.5567 0.9433
10 Ac 0.4014 0.4014 0.7959
11 Ac 0.7959 0.4014 0.4014
12 Ac 0.4014 0.7959 0.4014
13 Ac 0.8149 0.1851 0.8149
14 Ac 0.8149 0.8149 0.1851
15 Ac 0.5567 0.9433 0.5567
16 Ac 0.1851 0.8149 0.1851
17 Ac 0.9433 0.5567 0.5567
18 Ac 0.1851 0.1851 0.8149
19 Ac 0.1851 0.8149 0.8149
20 Ac 0.4014 0.4014 0.4014
21 Pt 0.1786 0.6071 0.6071
22 Pt 0.6072 0.6071 0.6071
23 Pt 0.6072 0.6071 0.1786
24 Pt 0.6072 0.1786 0.6071

---

--- Q ---
The following is a DFT calculation (GGA-PBE) of a geometry-optimized Ac4InPt structure.

* SG: Cmc2_1

abc: 5.8282 7.2532 11.4995
angles: 90.00 104.68 90.00
Sites, in units of the cell vectors:
1 Ac 0.7058 0.5634 0.4117
2 Ac 0.9029 0.3109 0.8058
3 Ac 0.3100 0.5743 0.6200
4 Ac 0.2942 0.0634 0.5883
5 Ac 0.5481 0.3677 0.0961
6 Ac 0.6900 0.0743 0.3800
7 Ac 0.0971 0.8109 0.1942
8 Ac 0.4519 0.8677 0.9039
9 In 0.8459 0.8234 0.6918
10 In 0.1541 0.3234 0.3082
11 Pt 0.5866 0.7938 0.1732
12 Pt 0.4134 0.2938 0.8268

---

In terms of stability, P leads; the second structure lies 115 meV/atom higher.